Density functional theory data (GGA-PBE) for a relaxed SrHgIrOs2 crystal.

Geometry as POSCAR:
```
SrHgIrOs2
1.0
5.010 0.000 0.000
0.000 5.022 0.000
0.000 0.000 5.010
Ir Sr Os Hg
1 1 2 1
Cartesian
0.000 2.511 0.000
0.000 0.000 0.000
2.505 0.000 0.000
0.000 0.000 2.505
2.505 2.511 2.505
```

Values from the calculation:
total magnetic moment = 0.98 μB/atom
V = 126.1 Å³/f.u.
uncorrected energy = -3.449 eV/atom



Density functional theory data (GGA-PBE) for a relaxed Ce2SmHoS4 crystal.

Geometry as POSCAR:
```
Ce2SmHoS4
1.0
3.971 0.000 0.000
0.000 6.893 0.122
0.000 -2.406 6.510
S Ce Ho Sm
4 2 1 1
Cartesian
1.985 1.085 1.590
1.985 3.402 5.042
0.000 4.607 1.679
0.000 -0.120 4.954
0.000 2.244 3.316
1.985 -1.203 3.255
0.000 0.000 0.000
1.985 3.447 0.061
```

Values from the calculation:
total magnetic moment = 0.20 μB/atom
V = 179.4 Å³/f.u.
uncorrected energy = -6.737 eV/atom
E_form (uncorrected) = -2.03 eV/atom



Density functional theory data (GGA-PBE) for a relaxed ScCd2B2O6 crystal.

Geometry as POSCAR:
```
ScCd2B2O6
1.0
5.070 0.000 0.000
-2.535 4.391 0.000
0.000 0.000 6.822
B Cd Sc O
2 2 1 6
Cartesian
0.000 2.927 1.254
2.535 1.464 5.568
2.535 1.464 2.224
0.000 2.927 4.598
0.000 0.000 0.000
3.036 2.755 5.555
3.403 0.384 5.555
1.369 3.139 1.267
-0.868 4.007 1.267
-0.501 1.636 1.267
1.166 1.252 5.555
```

Values from the calculation:
total magnetic moment = 0.00 μB/atom
V = 151.9 Å³/f.u.
uncorrected energy = -6.776 eV/atom
E_form (uncorrected) = -2.12 eV/atom